A relaxed structure of Ba3In2Hg2Au4, computed with PBE-GGA.

a b c (Å): 4.997 4.997 15.564
angles (deg): 90.00 90.00 120.00
Sites, in units of the cell vectors:
Ba: 0.000 0.000 0.723
Ba: 0.000 0.000 0.000
Ba: 0.000 0.000 0.277
In: 0.667 0.333 0.428
In: 0.333 0.667 0.572
Hg: 0.667 0.333 0.860
Hg: 0.333 0.667 0.140
Au: 0.667 0.333 0.135
Au: 0.333 0.667 0.865
Au: 0.667 0.333 0.605
Au: 0.333 0.667 0.395

**DFT total energy**: -2.8137 eV/atom
**D(E_F)**: 7.30 states/eV/f.u.

***

A relaxed structure of La2Pm3PrSe6, computed with PBE-GGA.

a b c (Å): 7.358 7.358 7.362
angles (deg): 99.57 99.57 120.19
Sites, in units of the cell vectors:
La: 0.334 0.666 0.000
La: 0.666 0.334 0.000
Pm: 0.166 0.834 0.500
Pm: 0.834 0.166 0.500
Pm: 0.500 0.500 0.500
Pr: 0.000 0.000 0.000
Se: 0.914 0.581 0.743
Se: 0.753 0.753 0.257
Se: 0.086 0.419 0.257
Se: 0.581 0.914 0.743
Se: 0.247 0.247 0.743
Se: 0.419 0.086 0.257

**DFT total energy**: -6.0474 eV/atom
**D(E_F)**: 6.15 states/eV/f.u.
**Formation energy (no corrections)**: -1.898 eV/atom

***

A relaxed structure of Nd5Si3, computed with PBE-GGA.

a b c (Å): 8.782 8.782 6.682
angles (deg): 90.00 90.00 120.00
Sites, in units of the cell vectors:
Nd: 0.667 0.333 0.000
Nd: 0.333 0.667 0.000
Nd: 0.333 0.667 0.500
Nd: 0.667 0.333 0.500
Nd: 0.753 0.753 0.750
Nd: 0.247 0.000 0.750
Nd: 0.000 0.247 0.750
Nd: 0.247 0.247 0.250
Nd: 0.753 0.000 0.250
Nd: 0.000 0.753 0.250
Si: 0.393 0.393 0.750
Si: 0.607 0.000 0.750
Si: 0.000 0.607 0.750
Si: 0.607 0.607 0.250
Si: 0.393 0.000 0.250
Si: 0.000 0.393 0.250

**DFT total energy**: -5.5785 eV/atom
**Energy relative to the lowest polymorph listed for this composition**: 0.024 eV per atom
**D(E_F)**: 7.93 states/eV/f.u.
**Formation energy (no corrections)**: -0.565 eV/atom

***

A relaxed structure of Co3CuMo, computed with PBE-GGA.

a b c (Å): 4.384 4.384 4.384
angles (deg): 90.00 90.00 90.00
Last column: magnetic moment on the atom in μB.
Sites, in units of the cell vectors:
Mo: 0.000 0.000 0.000  -0.08
Co: 0.000 0.500 0.000  0.33
Co: 0.000 0.000 0.500  0.42
Co: 0.500 0.000 0.000  0.28
Cu: 0.500 0.500 0.500  -0.02

**DFT total energy**: -5.6924 eV/atom
**Energy relative to the lowest polymorph listed for this composition**: 0.119 eV per atom
**D(E_F)**: 5.63 states/eV/f.u.

***

A relaxed structure of Sr4TlCl, computed with PBE-GGA.

a b c (Å): 7.457 7.457 7.457
angles (deg): 60.00 60.00 60.00
Sites, in units of the cell vectors:
Sr: 0.872 0.376 0.376
Sr: 0.376 0.376 0.872
Sr: 0.376 0.872 0.376
Sr: 0.376 0.376 0.376
Tl: 0.750 0.750 0.750
Cl: 0.000 0.000 0.000

**DFT total energy**: -1.7734 eV/atom
**D(E_F)**: 6.05 states/eV/f.u.
**Formation energy (no corrections)**: 0.050 eV/atom

***

A relaxed structure of GaSiHgOsRh, computed with PBE-GGA.

a b c (Å): 2.927 2.927 9.423
angles (deg): 90.00 90.05 90.00
Sites, in units of the cell vectors:
Rh: 0.105 0.500 0.990
Si: 0.606 0.000 0.141
Os: 0.106 0.500 0.294
Hg: 0.604 0.000 0.759
Ga: 0.607 0.000 0.475

**DFT total energy**: -5.6986 eV/atom
**Energy relative to the lowest polymorph listed for this composition**: 0.000 eV per atom
**D(E_F)**: 3.31 states/eV/f.u.
**Formation energy (no corrections)**: -0.232 eV/atom

***

A relaxed structure of Hf4SiSn, computed with PBE-GGA.

a b c (Å): 5.487 7.796 7.309
angles (deg): 113.59 100.73 110.77
Sites, in units of the cell vectors:
Hf: 0.053 0.197 0.811
Hf: 0.773 0.719 0.631
Hf: 0.258 0.614 0.811
Hf: 0.358 0.913 0.631
Hf: 0.642 0.087 0.369
Hf: 0.742 0.386 0.189
Hf: 0.227 0.281 0.369
Hf: 0.947 0.803 0.189
Si: 0.251 0.001 0.003
Si: 0.749 0.999 0.997
Sn: 0.362 0.612 0.224
Sn: 0.638 0.388 0.776

**DFT total energy**: -8.6569 eV/atom
**Energy relative to the lowest polymorph listed for this composition**: 0.054 eV per atom
**D(E_F)**: 4.08 states/eV/f.u.
**Formation energy (no corrections)**: -0.450 eV/atom

***

A relaxed structure of CaYIr, computed with PBE-GGA.

a b c (Å): 7.047 7.047 7.047
angles (deg): 151.71 151.47 40.61
Sites, in units of the cell vectors:
Y: 0.711 0.711 0.000
Ca: 0.964 0.964 0.000
Ir: 0.325 0.325 0.000

**DFT total energy**: -6.2322 eV/atom
**Energy relative to the lowest polymorph listed for this composition**: 0.064 eV per atom
**D(E_F)**: 2.32 states/eV/f.u.

***

- Which value of D(E_F) does entry 7 give?
  4.08 states/eV/f.u.

***

- The highest D(E_F) belongs to which entry?
  Nd5Si3